A relaxed structure of Tl4Hg2Au, computed with PBE.

abc: 5.552 5.552 8.835
angles: 108.31 108.31 90.00
Atoms (fractional coordinates):
Tl (0.815, 0.815, 0.630)
Tl (0.185, 0.185, 0.370)
Tl (0.000, 0.500, 0.000)
Tl (0.500, 0.000, 0.000)
Au (0.000, 0.000, 0.000)
Hg (0.622, 0.622, 0.244)
Hg (0.378, 0.378, 0.756)

offset from the most stable computed form	72	kJ/mol of formula units
calculated volume	244.0	Å³/f.u.



A relaxed structure of Tl5HgAu3, computed with PBE.

abc: 6.961 8.587 9.823
angles: 107.46 90.00 113.91
Atoms (fractional coordinates):
Tl (0.253, 0.000, 0.750)
Tl (0.587, 0.669, 0.914)
Tl (0.914, 0.328, 0.077)
Tl (0.413, 0.331, 0.086)
Tl (0.586, 0.672, 0.423)
Tl (0.747, 0.000, 0.250)
Tl (0.082, 0.669, 0.414)
Tl (0.918, 0.331, 0.586)
Tl (0.414, 0.328, 0.577)
Tl (0.086, 0.672, 0.923)
Hg (0.750, 0.000, 0.750)
Hg (0.250, 0.000, 0.250)
Au (0.000, 0.000, 0.000)
Au (0.667, 0.334, 0.332)
Au (0.000, 0.000, 0.500)
Au (0.333, 0.666, 0.668)
Au (0.667, 0.334, 0.832)
Au (0.333, 0.666, 0.168)

offset from the most stable computed form	0	kJ/mol of formula units
calculated volume	253.5	Å³/f.u.



A relaxed structure of TlHgAu2, computed with PBE.

abc: 4.410 3.917 5.720
angles: 70.95 90.00 90.00
Atoms (fractional coordinates):
Tl (0.500, 0.777, 0.823)
Au (0.000, 0.213, 0.960)
Au (0.500, 0.037, 0.291)
Hg (0.000, 0.473, 0.426)

offset from the most stable computed form	7	kJ/mol of formula units
calculated volume	93.4	Å³/f.u.



A relaxed structure of Tl8Hg4Au3, computed with PBE.

abc: 7.266 7.266 10.842
angles: 70.42 70.42 60.00
Atoms (fractional coordinates):
Tl (0.235, 0.235, 0.295)
Tl (0.233, 0.747, 0.273)
Tl (0.747, 0.747, 0.273)
Tl (0.747, 0.233, 0.273)
Tl (0.765, 0.765, 0.705)
Tl (0.767, 0.253, 0.727)
Tl (0.253, 0.253, 0.727)
Tl (0.253, 0.767, 0.727)
Hg (0.000, 0.000, 0.000)
Hg (0.338, 0.338, 0.986)
Hg (0.500, 0.500, 0.500)
Hg (0.662, 0.662, 0.014)
Au (0.500, 0.000, 0.500)
Au (0.000, 0.000, 0.500)
Au (0.000, 0.500, 0.500)

VASP energy	-29.5	eV for the cell shown
calculated volume	457.2	Å³/f.u.



A relaxed structure of Tl2Hg9Au, computed with PBE.

abc: 5.376 4.517 13.390
angles: 90.00 96.06 90.00
Atoms (fractional coordinates):
Tl (0.974, 0.000, 0.314)
Tl (0.026, 0.000, 0.686)
Hg (0.500, 0.500, 0.000)
Hg (0.483, 0.500, 0.327)
Hg (0.517, 0.500, 0.673)
Hg (0.468, 0.000, 0.156)
Hg (0.500, 0.000, 0.500)
Hg (0.532, 0.000, 0.844)
Hg (0.995, 0.500, 0.141)
Hg (0.000, 0.500, 0.500)
Hg (0.005, 0.500, 0.859)
Au (0.000, 0.000, 0.000)

VASP energy	-10.5	eV for the cell shown
calculated volume	323.3	Å³/f.u.



A relaxed structure of Tl10Hg6Au, computed with PBE.

abc: 6.604 9.369 9.369
angles: 120.00 90.00 90.00
Atoms (fractional coordinates):
Tl (0.772, 0.747, 0.747)
Tl (0.772, 0.000, 0.253)
Tl (0.772, 0.253, 0.000)
Tl (0.228, 0.253, 0.253)
Tl (0.228, 0.000, 0.747)
Tl (0.228, 0.747, 0.000)
Tl (0.500, 0.333, 0.667)
Tl (0.500, 0.667, 0.333)
Tl (0.000, 0.667, 0.333)
Tl (0.000, 0.333, 0.667)
Hg (0.739, 0.395, 0.395)
Hg (0.739, 0.000, 0.605)
Hg (0.739, 0.605, 0.000)
Hg (0.261, 0.605, 0.605)
Hg (0.261, 0.000, 0.395)
Hg (0.261, 0.395, 0.000)
Au (0.500, 0.000, 0.000)

VASP energy	-28.7	eV for the cell shown
calculated volume	502.0	Å³/f.u.



A relaxed structure of Tl2Hg6Au3, computed with PBE.

abc: 4.153 9.036 9.036
angles: 120.00 90.00 90.00
Atoms (fractional coordinates):
Tl (0.000, 0.667, 0.333)
Tl (0.000, 0.333, 0.667)
Hg (0.500, 0.711, 0.711)
Hg (0.500, 0.000, 0.289)
Hg (0.000, 0.196, 0.196)
Hg (0.000, 0.804, 0.000)
Hg (0.500, 0.289, 0.000)
Hg (0.000, 0.000, 0.804)
Au (0.500, 0.408, 0.408)
Au (0.500, 0.592, 0.000)
Au (0.500, 0.000, 0.592)

VASP energy	-15.7	eV for the cell shown
calculated volume	293.7	Å³/f.u.



A relaxed structure of Tl2Hg2Au, computed with PBE.

abc: 7.672 7.672 5.025
angles: 90.00 90.00 90.00
Atoms (fractional coordinates):
Tl (0.346, 0.846, 0.000)
Tl (0.846, 0.654, 0.000)
Tl (0.654, 0.154, 0.000)
Tl (0.154, 0.346, 0.000)
Au (0.000, 0.000, 0.000)
Au (0.500, 0.500, 0.000)
Hg (0.161, 0.661, 0.500)
Hg (0.661, 0.839, 0.500)
Hg (0.839, 0.339, 0.500)
Hg (0.339, 0.161, 0.500)

offset from the most stable computed form	36	kJ/mol of formula units
calculated volume	147.9	Å³/f.u.



A relaxed structure of TlHg2Au2, computed with PBE.

abc: 4.067 5.555 6.267
angles: 107.89 108.93 90.00
Atoms (fractional coordinates):
Tl (0.000, 0.000, 0.000)
Hg (0.369, 0.442, 0.737)
Hg (0.631, 0.558, 0.263)
Au (0.700, 0.117, 0.400)
Au (0.300, 0.883, 0.600)

offset from the most stable computed form	0	kJ/mol of formula units
calculated volume	126.7	Å³/f.u.



A relaxed structure of Tl4HgAu, computed with PBE.

abc: 7.180 7.180 8.502
angles: 114.98 114.98 90.00
Atoms (fractional coordinates):
Tl (0.479, 0.979, 0.276)
Tl (0.979, 0.797, 0.276)
Tl (0.297, 0.479, 0.276)
Tl (0.703, 0.521, 0.724)
Tl (0.021, 0.203, 0.724)
Tl (0.521, 0.021, 0.724)
Tl (0.203, 0.703, 0.724)
Tl (0.797, 0.297, 0.276)
Hg (0.500, 0.500, 0.000)
Hg (0.000, 0.000, 0.000)
Au (0.250, 0.250, 0.500)
Au (0.750, 0.750, 0.500)

offset from the most stable computed form	9	kJ/mol of formula units
calculated volume	175.8	Å³/f.u.



A relaxed structure of Tl2Hg2Au, computed with PBE.

abc: 7.431 7.431 5.034
angles: 90.00 90.00 90.00
Atoms (fractional coordinates):
Tl (0.170, 0.670, 0.500)
Tl (0.670, 0.830, 0.500)
Tl (0.830, 0.330, 0.500)
Tl (0.330, 0.170, 0.500)
Au (0.000, 0.000, 0.000)
Au (0.500, 0.500, 0.000)
Hg (0.356, 0.856, 0.000)
Hg (0.856, 0.644, 0.000)
Hg (0.644, 0.144, 0.000)
Hg (0.144, 0.356, 0.000)

offset from the most stable computed form	21	kJ/mol of formula units
calculated volume	139.0	Å³/f.u.



A relaxed structure of TlHgAu, computed with PBE.

abc: 3.630 3.629 6.189
angles: 106.36 106.37 90.44
Atoms (fractional coordinates):
Tl (0.466, 0.603, 0.978)
Au (0.807, 0.945, 0.659)
Hg (0.164, 0.301, 0.372)

offset from the most stable computed form	19	kJ/mol of formula units
calculated volume	74.7	Å³/f.u.



A relaxed structure of TlHg4Au4, computed with PBE.

abc: 5.494 9.255 9.255
angles: 90.00 90.00 90.00
Atoms (fractional coordinates):
Tl (0.000, 0.000, 0.000)
Tl (0.500, 0.500, 0.500)
Hg (0.400, 0.325, 0.901)
Hg (0.900, 0.599, 0.825)
Hg (0.400, 0.675, 0.099)
Hg (0.100, 0.175, 0.599)
Hg (0.600, 0.901, 0.675)
Hg (0.100, 0.825, 0.401)
Hg (0.900, 0.401, 0.175)
Hg (0.600, 0.099, 0.325)
Au (0.599, 0.788, 0.371)
Au (0.599, 0.212, 0.629)
Au (0.099, 0.871, 0.712)
Au (0.901, 0.288, 0.871)
Au (0.901, 0.712, 0.129)
Au (0.401, 0.371, 0.212)
Au (0.401, 0.629, 0.788)
Au (0.099, 0.129, 0.288)

VASP energy	-32.0	eV for the cell shown
calculated volume	235.3	Å³/f.u.



A relaxed structure of Tl7Hg12Au, computed with PBE.

abc: 8.325 8.325 8.325
angles: 93.67 93.67 93.67
Atoms (fractional coordinates):
Tl (0.383, 0.147, 0.071)
Tl (0.929, 0.617, 0.853)
Tl (0.853, 0.929, 0.617)
Tl (0.500, 0.500, 0.500)
Tl (0.147, 0.071, 0.383)
Tl (0.071, 0.383, 0.147)
Tl (0.617, 0.853, 0.929)
Hg (0.753, 0.129, 0.245)
Hg (0.755, 0.247, 0.871)
Hg (0.860, 0.374, 0.520)
Hg (0.480, 0.140, 0.626)
Hg (0.871, 0.755, 0.247)
Hg (0.626, 0.480, 0.140)
Hg (0.374, 0.520, 0.860)
Hg (0.129, 0.245, 0.753)
Hg (0.520, 0.860, 0.374)
Hg (0.140, 0.626, 0.480)
Hg (0.245, 0.753, 0.129)
Hg (0.247, 0.871, 0.755)
Au (0.000, 0.000, 0.000)

VASP energy	-23.1	eV for the cell shown
calculated volume	573.2	Å³/f.u.



A relaxed structure of Tl2HgAu2, computed with PBE.

abc: 8.671 8.671 3.423
angles: 90.00 90.00 90.00
Atoms (fractional coordinates):
Tl (0.319, 0.819, 0.000)
Tl (0.819, 0.681, 0.000)
Tl (0.681, 0.181, 0.000)
Tl (0.181, 0.319, 0.000)
Au (0.115, 0.615, 0.500)
Au (0.615, 0.885, 0.500)
Au (0.885, 0.385, 0.500)
Au (0.385, 0.115, 0.500)
Hg (0.000, 0.000, 0.000)
Hg (0.500, 0.500, 0.000)

offset from the most stable computed form	38	kJ/mol of formula units
calculated volume	128.7	Å³/f.u.



A relaxed structure of Tl7Hg4Au, computed with PBE.

abc: 5.397 5.397 13.760
angles: 90.00 90.00 120.00
Atoms (fractional coordinates):
Tl (0.000, 0.000, 0.000)
Tl (0.333, 0.667, 0.438)
Tl (0.667, 0.333, 0.562)
Tl (0.333, 0.667, 0.157)
Tl (0.667, 0.333, 0.843)
Tl (0.000, 0.000, 0.717)
Tl (0.000, 0.000, 0.283)
Hg (0.333, 0.667, 0.912)
Hg (0.667, 0.333, 0.088)
Hg (0.333, 0.667, 0.685)
Hg (0.667, 0.333, 0.315)
Au (0.000, 0.000, 0.500)

offset from the most stable computed form	0	kJ/mol of formula units
calculated volume	347.1	Å³/f.u.



A relaxed structure of TlHgAu, computed with PBE.

abc: 4.156 5.894 6.594
angles: 90.00 71.37 90.00
Atoms (fractional coordinates):
Tl (0.679, 0.750, 0.637)
Tl (0.321, 0.250, 0.363)
Au (0.000, 0.500, 0.000)
Au (0.000, 0.000, 0.000)
Hg (0.381, 0.750, 0.235)
Hg (0.619, 0.250, 0.765)

offset from the most stable computed form	14	kJ/mol of formula units
calculated volume	76.5	Å³/f.u.



A relaxed structure of Tl4HgAu2, computed with PBE.

abc: 3.473 5.627 10.141
angles: 85.00 99.86 90.00
Atoms (fractional coordinates):
Tl (0.168, 0.878, 0.336)
Tl (0.832, 0.122, 0.664)
Tl (0.415, 0.572, 0.829)
Tl (0.585, 0.428, 0.171)
Au (0.213, 0.350, 0.426)
Au (0.787, 0.650, 0.574)
Hg (0.000, 0.000, 0.000)

offset from the most stable computed form	15	kJ/mol of formula units
calculated volume	194.5	Å³/f.u.



A relaxed structure of TlHg6Au6, computed with PBE.

abc: 5.753 7.647 7.647
angles: 80.95 67.90 67.90
Atoms (fractional coordinates):
Tl (0.000, 0.000, 0.000)
Hg (0.336, 0.664, 0.664)
Hg (0.664, 0.336, 0.336)
Hg (0.000, 0.336, 0.664)
Hg (0.000, 0.664, 0.336)
Hg (0.332, 0.168, 0.168)
Hg (0.668, 0.832, 0.832)
Au (0.000, 0.500, 0.000)
Au (0.500, 0.500, 0.000)
Au (0.000, 0.000, 0.500)
Au (0.500, 0.000, 0.500)
Au (0.500, 0.751, 0.249)
Au (0.500, 0.249, 0.751)

VASP energy	-23.5	eV for the cell shown
calculated volume	288.8	Å³/f.u.



A relaxed structure of Tl4Hg7Au, computed with PBE.

abc: 5.184 5.184 14.391
angles: 90.00 90.00 120.00
Atoms (fractional coordinates):
Tl (0.333, 0.667, 0.911)
Tl (0.667, 0.333, 0.089)
Tl (0.333, 0.667, 0.653)
Tl (0.667, 0.333, 0.347)
Hg (0.000, 0.000, 0.000)
Hg (0.333, 0.667, 0.431)
Hg (0.667, 0.333, 0.569)
Hg (0.333, 0.667, 0.180)
Hg (0.667, 0.333, 0.820)
Hg (0.000, 0.000, 0.738)
Hg (0.000, 0.000, 0.262)
Au (0.000, 0.000, 0.500)

VASP energy	-14.7	eV for the cell shown
calculated volume	335.0	Å³/f.u.